# 1
Ba2HgI2 | PBE | optimized geometry

Properties
Formation energy from raw total energies (eV/atom): -0.9711
Energy above the most stable polymorph in this dataset (meV/atom): 79.7
Size of the total moment (μB/f.u.): 0.0
DOS at the Fermi energy (states/eV/f.u.): 2.879

Cell: 5.551 5.551 16.772 Å, 90.00 90.00 90.00°
Space group I4/mmm (No. 139)
Symmetry-distinct sites (fractional):
Ba 0.000 0.000 0.124 [4 per cell]
Hg 0.000 0.000 0.500 [2 per cell]
I 0.000 0.500 0.250 [4 per cell]

***

# 2
BaHg2I | PBE | optimized geometry

Properties
Formation energy from raw total energies (eV/atom): -0.1945
Energy above the most stable polymorph in this dataset (meV/atom): 625.5
Size of the total moment (μB/f.u.): 0.6
DOS at the Fermi energy (states/eV/f.u.): 0.957

Cell: 4.6049 4.6049 32.5638 Å, 90.00 90.00 120.00°
Space group R-3m (No. 166, hexagonal axes)
Symmetry-distinct sites (fractional):
Ba 0.0000 0.0000 0.0000 [3 per cell]
Hg 0.0000 0.0000 0.1029 [6 per cell]
I 0.0000 0.0000 0.5000 [3 per cell]

***

# 3
BaHgI2 | PBE | optimized geometry

Properties
Formation energy from raw total energies (eV/atom): -1.2206
Energy above the most stable polymorph in this dataset (meV/atom): 65.4
Size of the total moment (μB/f.u.): 0.0
DOS at the Fermi energy (states/eV/f.u.): 0.000

Cell: 4.348 4.348 9.786 Å, 90.00 90.00 90.00°
Space group P4/mmm (No. 123)
Symmetry-distinct sites (fractional):
Ba 0.000 0.000 0.000 [1 per cell]
Hg 0.000 0.000 0.500 [1 per cell]
I 0.500 0.500 0.199 [2 per cell]

***

# 4
BaHg3I | PBE | optimized geometry

Properties
Formation energy from raw total energies (eV/atom): 0.0716
Energy above the most stable polymorph in this dataset (meV/atom): 163.5
Size of the total moment (μB/f.u.): 0.0
DOS at the Fermi energy (states/eV/f.u.): 5.747

Cell: 6.342 6.342 6.342 Å, 90.00 90.00 90.00°
Space group Pm-3m (No. 221)
Symmetry-distinct sites (fractional):
Ba 0.000 0.000 0.000 [1 per cell]
Hg 0.000 0.500 0.500 [3 per cell]
I 0.500 0.500 0.500 [1 per cell]

***

# 5
Ba6HgI12 | PBE | optimized geometry

Properties
Formation energy from raw total energies (eV/atom): -1.6388
Size of the total moment (μB/f.u.): 0.0
DOS at the Fermi energy (states/eV/f.u.): 0.000

Cell: 16.6376 16.6376 12.4484 Å, 90.00 90.00 120.00°
Space group R-3m (No. 166, hexagonal axes)
Symmetry-distinct sites (fractional):
Ba 0.0619 0.5310 0.2795 [18 per cell]
Hg 0.0000 0.0000 0.0000 [3 per cell]
I 0.0000 0.3709 0.5000 [18 per cell]
I 0.0904 0.1807 0.3551 [18 per cell]

***

# 6
BaHgI2 | PBE | optimized geometry

Properties
Formation energy from raw total energies (eV/atom): -1.2558
Energy above the most stable polymorph in this dataset (meV/atom): 30.2
Size of the total moment (μB/f.u.): 0.0
DOS at the Fermi energy (states/eV/f.u.): 0.000

Cell: 8.588 8.588 8.588 Å, 90.00 90.00 90.00°
Space group Fm-3m (No. 225)
Symmetry-distinct sites (fractional):
Ba 0.000 0.000 0.000 [4 per cell]
Hg 0.000 0.000 0.500 [4 per cell]
I 0.250 0.250 0.250 [8 per cell]

***

# 7
Ba2Hg2I | PBE | optimized geometry

Properties
Formation energy from raw total energies (eV/atom): -0.5832
Energy above the most stable polymorph in this dataset (meV/atom): 156.7
Size of the total moment (μB/f.u.): 0.0
DOS at the Fermi energy (states/eV/f.u.): 5.145

Cell: 6.536 6.536 10.171 Å, 90.00 90.00 90.00°
Space group I4/mmm (No. 139)
Symmetry-distinct sites (fractional):
Ba 0.000 0.500 0.250 [4 per cell]
Hg 0.000 0.000 0.138 [4 per cell]
I 0.000 0.000 0.500 [2 per cell]

***

# 8
Ba3HgI2 | PBE | optimized geometry

Properties
Formation energy from raw total energies (eV/atom): -1.0512
Size of the total moment (μB/f.u.): 0.0
DOS at the Fermi energy (states/eV/f.u.): 5.610

Cell: 8.623 14.825 9.060 Å, 90.00 108.21 90.00°
Space group C2/m (No. 12)
Symmetry-distinct sites (fractional):
Ba 0.223 0.000 0.224 [4 per cell]
Ba 0.246 0.175 0.769 [8 per cell]
Hg 0.000 0.169 0.000 [4 per cell]
I 0.000 0.000 0.500 [2 per cell]
I 0.000 0.344 0.500 [4 per cell]
I 0.000 0.500 0.000 [2 per cell]